No. 1
This record from the Alexandria database describes a relaxed structure of Ca3DyU3N8. The functional is GGA-PBE.

Summary:
The density of states at the Fermi level is 0.611 states/eV/atom. The formation energy (no corrections) is -1.24 eV per atom.

Structure (CIF):
```
data_Ca3DyU3N8
_space_group_name_H-M_alt 'R -3 m'
_space_group_IT_number 166
_space_group_name_Hall '-R 3 2"'
_cell_length_a 6.9567
_cell_length_b 6.9567
_cell_length_c 17.0490
_cell_angle_alpha 90.00
_cell_angle_beta 90.00
_cell_angle_gamma 120.00
loop_
_atom_site_label
_atom_site_type_symbol
_atom_site_fract_x
_atom_site_fract_y
_atom_site_fract_z
Ca1 Ca 0.0000 0.5000 0.0000
Dy1 Dy 0.0000 0.0000 0.5000
U1 U 0.0000 0.5000 0.5000
N1 N 0.0000 0.0000 0.2416
N2 N 0.0131 0.5065 0.7692
```


No. 2
This record from the Alexandria database describes a relaxed structure of AlTlTc2. The functional is GGA-PBE.

Summary:
The density of states at the Fermi level is 0.891 states/eV/atom. As for the formation energy: 0.4251 eV/atom. For the excess energy over the best structure of this formula in the dataset, the calculation gives 0.298 eV/atom.

Structure (CIF):
```
data_AlTlTc2
_space_group_name_H-M_alt 'I -4 m 2'
_space_group_IT_number 119
_space_group_name_Hall 'I -4 -2'
_cell_length_a 4.1187
_cell_length_b 4.1187
_cell_length_c 7.7268
_cell_angle_alpha 90.00
_cell_angle_beta 90.00
_cell_angle_gamma 90.00
loop_
_atom_site_label
_atom_site_type_symbol
_atom_site_fract_x
_atom_site_fract_y
_atom_site_fract_z
Al1 Al 0.0000 0.0000 0.0000
Tl1 Tl 0.0000 0.5000 0.2500
Tc1 Tc 0.0000 0.0000 0.5000
Tc2 Tc 0.0000 0.5000 0.7500
```


No. 3
This record from the Alexandria database describes a relaxed structure of SrZn9Au3. The functional is GGA-PBE.

Summary:
The density of states at the Fermi level is 0.511 states/eV/atom. As for the formation energy: -0.2066 eV/atom.

Structure (CIF):
```
data_SrZn9Au3
_space_group_name_H-M_alt 'C 1 2/m 1'
_space_group_IT_number 12
_cell_length_a 5.5760
_cell_length_b 12.7297
_cell_length_c 7.0022
_cell_angle_alpha 90.00
_cell_angle_beta 111.46
_cell_angle_gamma 90.00
loop_
_space_group_symop_operation_xyz
'x,y,z'
'-x,-y,-z'
'-x,y,-z'
'x,-y,z'
'x+1/2,y+1/2,z'
'-x+1/2,-y+1/2,-z'
'-x+1/2,y+1/2,-z'
'x+1/2,-y+1/2,z'
loop_
_atom_site_label
_atom_site_type_symbol
_atom_site_fract_x
_atom_site_fract_y
_atom_site_fract_z
Sr1 Sr 0.0000 0.0000 0.0000
Zn1 Zn 0.0000 0.5000 0.5000
Zn2 Zn 0.1066 0.3882 0.2307
Zn3 Zn 0.1797 0.1798 0.3591
Au1 Au 0.0000 0.0000 0.5000
Au2 Au 0.2500 0.2500 0.0000
```


No. 4
This record from the Alexandria database describes a relaxed structure of Ho7Tl2Ni2. The functional is GGA-PBE.

Summary:
The density of states at the Fermi level is 0.863 states/eV/atom. As for the formation energy: -0.1900 eV/atom.

Structure (CIF):
```
data_Ho7Tl2Ni2
_space_group_name_H-M_alt 'C m m m'
_space_group_IT_number 65
_space_group_name_Hall '-C 2 2'
_cell_length_a 7.9273
_cell_length_b 11.0610
_cell_length_c 6.9517
_cell_angle_alpha 90.00
_cell_angle_beta 90.00
_cell_angle_gamma 90.00
loop_
_atom_site_label
_atom_site_type_symbol
_atom_site_fract_x
_atom_site_fract_y
_atom_site_fract_z
Ho1 Ho 0.0000 0.0000 0.0000
Ho2 Ho 0.0000 0.5000 0.2334
Ho3 Ho 0.2500 0.2500 0.2430
Tl1 Tl 0.1826 0.0000 0.5000
Ni1 Ni 0.0000 0.2942 0.0000
```


No. 5
This record from the Alexandria database describes a relaxed structure of AcCePmMg. The functional is GGA-PBE.

Summary:
The density of states at the Fermi level is 2.455 states/eV/atom. As for the formation energy: 0.1663 eV/atom.

Structure (CIF):
```
data_AcCePmMg
_space_group_name_H-M_alt 'F -4 3 m'
_space_group_IT_number 216
_space_group_name_Hall 'F -4 2 3'
_cell_length_a 8.1205
_cell_length_b 8.1205
_cell_length_c 8.1205
_cell_angle_alpha 90.00
_cell_angle_beta 90.00
_cell_angle_gamma 90.00
loop_
_atom_site_label
_atom_site_type_symbol
_atom_site_fract_x
_atom_site_fract_y
_atom_site_fract_z
Ac1 Ac 0.0000 0.0000 0.0000
Ce1 Ce 0.2500 0.2500 0.7500
Pm1 Pm 0.0000 0.0000 0.5000
Mg1 Mg 0.2500 0.2500 0.2500
```


No. 6
This record from the Alexandria database describes a relaxed structure of Zr2CrInRh. The functional is GGA-PBE.

Summary:
The density of states at the Fermi level is 2.208 states/eV/atom. As for the formation energy: 1.4689 eV/atom.

Structure (CIF):
```
data_Zr2CrInRh
_space_group_name_H-M_alt 'P 4/m m m'
_space_group_IT_number 123
_space_group_name_Hall '-P 4 2'
_cell_length_a 5.3951
_cell_length_b 5.3951
_cell_length_c 4.9110
_cell_angle_alpha 90.00
_cell_angle_beta 90.00
_cell_angle_gamma 90.00
loop_
_atom_site_label
_atom_site_type_symbol
_atom_site_fract_x
_atom_site_fract_y
_atom_site_fract_z
Zr1 Zr 0.0000 0.5000 0.0000
Cr1 Cr 0.0000 0.0000 0.5000
In1 In 0.0000 0.0000 0.0000
Rh1 Rh 0.5000 0.5000 0.5000
```


No. 7
This record from the Alexandria database describes a relaxed structure of Ce2PrNdAs4. The functional is GGA-PBE.

Summary:
The density of states at the Fermi level is 1.331 states/eV/atom. As for the formation energy: -1.4729 eV/atom.

Structure (CIF):
```
data_Ce2PrNdAs4
_space_group_name_H-M_alt 'P 1 2/m 1'
_space_group_IT_number 10
_cell_length_a 7.3649
_cell_length_b 4.2513
_cell_length_c 7.3666
_cell_angle_alpha 90.00
_cell_angle_beta 109.46
_cell_angle_gamma 90.00
loop_
_space_group_symop_operation_xyz
'x,y,z'
'-x,-y,-z'
'-x,y,-z'
'x,-y,z'
loop_
_atom_site_label
_atom_site_type_symbol
_atom_site_fract_x
_atom_site_fract_y
_atom_site_fract_z
Ce1 Ce 0.0000 0.0000 0.0000
Ce2 Ce 0.5000 0.5000 0.0000
Pr1 Pr 0.0000 0.5000 0.5000
Nd1 Nd 0.5000 0.0000 0.5000
As1 As 0.2488 0.5000 0.2431
As2 As 0.2537 0.0000 0.7577
```